[1]
VASP calculation (PBE) on an optimized crystal structure of Cd3Pt12W.

Unit cell a=4.0160 b=4.0160 c=16.1370 alpha=90.00 beta=90.00 gamma=90.00
Fractional coordinates of all 16 atoms:
W (0.0000, 0.0000, 0.0000)
Pt (0.5000, 0.0000, 0.6263)
Cd (0.0000, 0.0000, 0.2486)
Pt (0.5000, 0.5000, 0.5000)
Cd (0.0000, 0.0000, 0.7514)
Pt (0.5000, 0.5000, 0.7542)
Pt (0.5000, 0.5000, 0.0000)
Pt (0.0000, 0.5000, 0.1165)
Pt (0.5000, 0.5000, 0.2458)
Pt (0.0000, 0.5000, 0.8835)
Cd (0.0000, 0.0000, 0.5000)
Pt (0.0000, 0.5000, 0.6263)
Pt (0.0000, 0.5000, 0.3737)
Pt (0.5000, 0.0000, 0.1165)
Pt (0.5000, 0.0000, 0.3737)
Pt (0.5000, 0.0000, 0.8835)

Output
E_form	-238.2	meV/atom

***

[2]
VASP calculation (PBE) on an optimized crystal structure of Y3Cd3Pt2.

Unit cell a=3.7045 b=7.6483 c=7.6483 alpha=120.00 beta=90.00 gamma=90.00
Fractional coordinates of all 8 atoms:
Pt (0.0000, 0.3333, 0.6667)
Y (0.5000, 0.4219, 0.4219)
Cd (0.0000, 0.7735, 0.7735)
Cd (0.0000, 0.2265, 0.0000)
Pt (0.0000, 0.6667, 0.3333)
Y (0.5000, 0.0000, 0.5781)
Y (0.5000, 0.5781, 0.0000)
Cd (0.0000, 0.0000, 0.2265)

Output
E_form	-802.2	meV/atom

***

[3]
VASP calculation (PBE) on an optimized crystal structure of YCdPt3.

Unit cell a=5.1082 b=5.1082 c=5.1082 alpha=90.00 beta=90.00 gamma=90.00
Fractional coordinates of all 5 atoms:
Pt (0.0000, 0.0000, 0.5000)
Pt (0.0000, 0.5000, 0.0000)
Cd (0.5000, 0.5000, 0.5000)
Y (0.0000, 0.0000, 0.0000)
Pt (0.5000, 0.0000, 0.0000)

Output
E_form	705.8	meV/atom
energy above the most stable polymorph in this dataset	0.389	eV/atom